No. 1
6
Lattice="0.000 3.698 3.698 3.698 0.000 3.698 3.698 3.698 0.000" Properties=species:S:1:pos:R:3 comment="AlInIr4 | Alexandria via LeMat-Bulk | GGA-PBE | relaxed" sg="F-43m, No. 216" formation_enthalpy_0k_ev_per_fu=1.3 pbc="T T T"
Al 0.000 0.000 0.000
In 5.547 5.547 5.547
Ir 2.772 2.772 2.772
Ir 4.623 4.623 2.772
Ir 4.623 2.772 4.623
Ir 2.772 4.623 4.623

No. 2
4
Lattice="-1.455 2.150 4.559 1.455 -2.150 4.559 1.455 2.150 -4.559" Properties=species:S:1:pos:R:3 comment="SiPtRh2 | Alexandria via LeMat-Bulk | GGA-PBE | relaxed" sg="Imm2, No. 44" formation_energy_uncorrected_ev_per_atom=-0.428 pbc="T T T"
Si 0.000 0.000 0.000
Pt 1.455 0.000 1.923
Rh 0.000 0.000 4.577
Rh 0.000 2.150 2.683

No. 3
3
Lattice="-1.681 1.681 5.794 1.681 -1.681 5.794 1.681 1.681 -5.794" Properties=species:S:1:pos:R:3 comment="GdMgCu | Alexandria via LeMat-Bulk | GGA-PBE | relaxed" sg="I4mm, No. 107" formation_enthalpy_0k_ev_per_fu=-0.3 pbc="T T T"
Gd 0.000 0.000 0.000
Mg 0.000 0.000 8.301
Cu 0.000 0.000 3.945

No. 4
4
Lattice="3.854 0.000 0.000 0.000 3.854 0.000 0.000 0.000 5.778" Properties=species:S:1:pos:R:3 comment="AlAsSe2 | Alexandria via LeMat-Bulk | GGA-PBE | relaxed" sg="P4mm, No. 99" formation_energy_uncorrected_ev_per_atom=-0.156 pbc="T T T"
Al 0.000 0.000 0.000
As 1.927 1.927 2.608
Se 0.000 0.000 2.595
Se 1.927 1.927 5.478

No. 5
8
Lattice="4.164 0.000 0.000 0.000 4.164 0.000 0.000 0.000 8.823" Properties=species:S:1:pos:R:3 comment="LaBePPt | Alexandria via LeMat-Bulk | GGA-PBE | relaxed" sg="P4/nmm, No. 129" formation_enthalpy_0k_ev_per_fu=-4.5 pbc="T T T"
La 1.041 1.041 1.670
La 3.123 3.123 7.152
Be 1.041 1.041 5.440
Be 3.123 3.123 3.382
P 1.041 1.041 7.554
P 3.123 3.123 1.268
Pt 1.041 3.123 4.411
Pt 3.123 1.041 4.411

No. 6
9
Lattice="9.340 -1.800 0.000 9.340 1.800 0.000 -4.149 0.000 8.620" Properties=species:S:1:pos:R:3 comment="Tb2Pm2Dy4Ho | Alexandria via LeMat-Bulk | GGA-PBE | relaxed" sg="C2/m, No. 12" formation_enthalpy_0k_ev_per_fu=0.0 pbc="T T T"
Tb 2.073 0.000 1.411
Tb 12.459 0.000 7.209
Pm 4.170 0.000 4.313
Pm 10.362 0.000 4.307
Dy -0.003 0.000 7.198
Dy 8.295 0.000 1.432
Dy 6.237 0.000 7.188
Dy 14.534 0.000 1.422
Ho -2.074 0.000 4.310